(1)
The following is a DFT calculation (PBE) of an optimized crystal structure of TiAg4.

```
5
Lattice="5.0137 0.0000 0.0000 0.0000 5.0137 0.0000 0.0000 0.0000 5.0137" Properties=species:S:1:pos:R:3 pbc="T T T"
Ti 0.0000 0.0000 0.0000
Ag 0.0000 0.0000 2.5068
Ag 0.0000 2.5068 0.0000
Ag 2.5068 0.0000 0.0000
Ag 2.5068 2.5068 2.5068
```

Summary:
The symmetry is Pm-3m, No. 221. The total energy comes out at -13.8 eV/f.u. The value obtained for the magnetic moment is 1.50 μB/f.u.

=====

(2)
The following is a DFT calculation (PBE) of an optimized crystal structure of TmMnRu2.

```
4
Lattice="3.1536 0.0000 0.0000 0.0000 3.1536 0.0000 0.0000 0.0000 6.5009" Properties=species:S:1:pos:R:3 pbc="T T T"
Tm 0.0000 0.0000 0.0000
Mn 0.0000 0.0000 3.2505
Ru 1.5768 1.5768 1.8738
Ru 1.5768 1.5768 4.6271
```

Summary:
The symmetry is P4/mmm, No. 123. The total energy comes out at -32.6 eV/f.u. The value obtained for the magnetic moment is 2.61 μB/f.u.

=====

(3)
The following is a DFT calculation (PBE) of an optimized crystal structure of Pm2DyP3.

```
12
Lattice="3.5433 -6.1365 0.0000 3.5433 6.1365 0.0000 -2.3598 0.0000 6.6811" Properties=species:S:1:pos:R:3 pbc="T T T"
Pm 0.0000 0.0000 0.0000
Pm 2.3633 4.0997 3.3406
Pm 2.3633 0.0000 3.3406
Pm 2.3633 -4.0997 3.3406
Dy 3.5433 2.0490 0.0000
Dy 3.5433 -2.0490 0.0000
P 1.1961 2.0696 1.6383
P 0.0306 0.0000 5.0477
P 1.1961 -2.0696 1.6383
P 3.5306 2.0696 5.0428
P 4.6961 0.0000 1.6334
P 3.5306 -2.0696 5.0428
```

Summary:
The symmetry is C2/m, No. 12. The total energy comes out at -39.8 eV/f.u. The value obtained for the magnetic moment is 0.00 μB/f.u.

=====

(4)
The following is a DFT calculation (PBE) of an optimized crystal structure of SrTbTlBr6.

```
18
Lattice="7.7055 0.0000 0.0000 -3.8528 6.6732 0.0000 0.0000 0.0000 14.0884" Properties=species:S:1:pos:R:3 pbc="T T T"
Sr 0.0000 4.4488 3.5221
Sr 3.8528 2.2244 10.5663
Tb 0.0000 4.4488 10.5663
Tb 3.8528 2.2244 3.5221
Tl 0.0000 0.0000 0.0000
Tl 0.0000 0.0000 7.0442
Br -1.2745 2.5220 8.9291
Br -2.3059 4.3084 12.2035
Br 1.2745 2.5220 12.2035
Br -1.0314 6.5160 8.9291
Br 2.8214 0.1572 1.8849
Br 1.5468 2.3648 5.1593
Br 2.3059 4.3084 8.9291
Br 1.0314 6.5160 12.2035
Br 4.8842 0.1572 5.1593
Br 2.5782 4.1512 1.8849
Br 6.1587 2.3648 1.8849
Br 5.1273 4.1512 5.1593
```

Summary:
The symmetry is P-31c, No. 163. For the formation energy (no corrections), the calculation gives -15.7 eV per formula unit. The value obtained for the magnetic moment is 0.00 μB/f.u.